# 1
Crystalline LaPrSn6 at its relaxed geometry. Source: Alexandria, functional GGA-PBE.

POSCAR file:
```
LaPrSn6
1.0
4.804 0.000 0.000
0.000 4.804 0.000
0.000 0.000 9.585
La Pr Sn
1 1 6
direct
0.000 0.000 0.000 La
0.000 0.000 0.500 Pr
0.500 0.500 0.000 Sn
0.500 0.500 0.500 Sn
0.500 0.000 0.251 Sn
0.500 0.000 0.749 Sn
0.000 0.500 0.251 Sn
0.000 0.500 0.749 Sn
```

Energy of formation from the pure elements ... -0.54 eV/atom
Total DFT energy (no corrections) ... -4.76 eV/atom

---

# 2
Crystalline LaPr4Sn2 at its relaxed geometry. Source: Alexandria, functional GGA-PBE.

POSCAR file:
```
LaPr4Sn2
1.0
1.760 -1.044 -5.855
2.215 -5.744 -0.755
-7.959 1.282 1.893
La Pr Sn
1 4 2
direct
0.000 0.000 0.000 La
0.750 0.250 0.500 Pr
0.250 0.750 0.500 Pr
0.500 0.000 0.000 Pr
0.000 0.500 0.000 Pr
0.622 0.622 0.244 Sn
0.378 0.378 0.756 Sn
```

Energy of formation from the pure elements ... -0.17 eV/atom
E above lowest polymorph ... 246.3 meV per atom
Total DFT energy (no corrections) ... -4.75 eV/atom